A geometry-optimized PaBe2RuO8 structure. Source: Alexandria via LeMat-Bulk, functional PBE.

Results
- formation energy (no corrections) (kJ/mol of atoms) = -171
- DOS(E_F) (states/eV/atom) = 0.48
- total magnetization (μB/f.u.) = 0.899
- raw total energy (eV/atom) = -7.2612
- space-group type = P-3m1

The structure in POSCAR format:
```
PaBe2RuO8
1.0
5.063 0.000 0.000
-2.531 4.384 0.000
0.000 0.000 6.180
Pa Be Ru O
1 2 1 8
direct
0.000 0.000 0.000
0.333 0.667 0.209
0.667 0.333 0.791
0.000 0.000 0.500
0.162 0.325 0.294
0.162 0.838 0.294
0.325 0.162 0.706
0.333 0.667 0.954
0.667 0.333 0.046
0.675 0.838 0.294
0.838 0.162 0.706
0.838 0.675 0.706
```